No. 1
VASP calculation (PBE) on a relaxed structure of Y2HfCdO.

a b c (Å): 4.8538 4.8538 4.3915
angles (deg): 90.00 90.00 90.00
Fractional positions:
Y: 0.0000 0.5000 0.0000
Y: 0.5000 0.0000 0.0000
Hf: 0.0000 0.0000 0.5000
Cd: 0.5000 0.5000 0.5000
O: 0.0000 0.0000 0.0000

Results
V	20.692	A^3/atom
Fermi-level density of states	0.771	states/eV per atom
uncorrected formation energy	-1164.8	meV/atom
total magnetic moment	0.00	μB per formula unit

No. 2
VASP calculation (PBE) on a relaxed structure of YHf2CdO.

a b c (Å): 4.4482 4.4482 4.8329
angles (deg): 90.00 90.00 90.00
Fractional positions:
Y: 0.0000 0.0000 0.0000
Hf: 0.0000 0.5000 0.5000
Hf: 0.5000 0.0000 0.5000
Cd: 0.5000 0.5000 0.0000
O: 0.0000 0.0000 0.5000

Results
V	19.125	A^3/atom
Fermi-level density of states	0.688	states/eV per atom
uncorrected formation energy	-1022.7	meV/atom
total magnetic moment	0.00	μB per formula unit

No. 3
VASP calculation (PBE) on a relaxed structure of Hf2ZrCdO.

a b c (Å): 4.3801 4.3801 4.6906
angles (deg): 90.00 90.00 90.00
Fractional positions:
Hf: 0.0000 0.5000 0.0000
Hf: 0.5000 0.0000 0.0000
Zr: 0.0000 0.0000 0.5000
Cd: 0.5000 0.5000 0.5000
O: 0.0000 0.0000 0.0000

Results
V	17.998	A^3/atom
Fermi-level density of states	0.782	states/eV per atom
uncorrected formation energy	-978.1	meV/atom
total magnetic moment	0.00	μB per formula unit

No. 4
VASP calculation (PBE) on a relaxed structure of HfZr2CdO.

a b c (Å): 4.6158 4.6158 4.2811
angles (deg): 90.00 90.00 90.00
Fractional positions:
Hf: 0.0000 0.0000 0.0000
Zr: 0.0000 0.5000 0.5000
Zr: 0.5000 0.0000 0.5000
Cd: 0.5000 0.5000 0.0000
O: 0.0000 0.0000 0.5000

Results
V	18.242	A^3/atom
Fermi-level density of states	0.952	states/eV per atom
uncorrected formation energy	-1028.4	meV/atom
total magnetic moment	0.00	μB per formula unit

| no. | total energy (eV/atom) |
| --- | --- |
| 1 | -6.92 |
| 2 | -7.47 |
| 3 | -7.84 |
| 4 | -7.61 |